Entry 1:
Na2PrC2O6 | PBE | relaxed

Unit cell a=5.252 b=5.252 c=7.806 alpha=90.00 beta=90.00 gamma=120.00
Sites, in units of the cell vectors:
Na 0.667 0.333 0.662
Na 0.333 0.667 0.338
Pr 0.000 0.000 0.000
C 0.333 0.667 0.828
C 0.667 0.333 0.172
O 0.089 0.417 0.826
O 0.583 0.672 0.826
O 0.328 0.911 0.826
O 0.911 0.583 0.174
O 0.417 0.328 0.174
O 0.672 0.089 0.174

Calculated values
E = -75.56 eV for the cell shown
M_tot = 0.000 μB per atom
Formation energy from raw total energies = -1812.8 meV per atom
Space-group type = P-3, No. 147
Crystal system = trigonal



Entry 2:
NaPrC2O6 | PBE | relaxed

Unit cell a=5.190 b=6.470 c=7.200 alpha=90.00 beta=90.00 gamma=90.00
Sites, in units of the cell vectors:
Na 0.000 0.476 0.027
Na 0.000 0.524 0.527
Pr 0.500 0.134 0.328
Pr 0.500 0.866 0.828
C 0.500 0.584 0.242
C 0.500 0.416 0.742
C 0.000 0.030 0.999
C 0.000 0.970 0.499
O 0.000 0.145 0.412
O 0.000 0.855 0.912
O 0.288 0.488 0.279
O 0.712 0.512 0.779
O 0.288 0.512 0.779
O 0.712 0.488 0.279
O 0.220 0.117 0.037
O 0.780 0.883 0.537
O 0.220 0.883 0.537
O 0.780 0.117 0.037
O 0.500 0.233 0.665
O 0.500 0.767 0.165

Calculated values
Energy relative to the lowest polymorph listed for this composition = 0 meV per atom
E = -150.73 eV for the cell shown
M_tot = 0.000 μB per atom
Formation energy from raw total energies = -2106.8 meV per atom
Space-group type = Pmc2_1, No. 26
Crystal system = orthorhombic



Entry 3:
Na2PtC2O6 | PBE | relaxed

Unit cell a=5.011 b=5.945 c=5.828 alpha=115.51 beta=90.00 gamma=114.92
Sites, in units of the cell vectors:
Na 0.705 0.410 0.214
Na 0.295 0.590 0.786
Pt 0.500 0.000 0.500
C 0.007 0.014 0.748
C 0.993 0.986 0.252
O 0.878 0.755 0.677
O 0.137 0.832 0.210
O 0.304 0.168 0.790
O 0.863 0.168 0.790
O 0.696 0.832 0.210
O 0.122 0.245 0.323

Calculated values
E = -71.35 eV for the cell shown
M_tot = 0.000 μB per atom
Formation energy from raw total energies = -1316.0 meV per atom
Space-group type = C2/m, No. 12
Crystal system = monoclinic



Entry 4:
NaPtC2O8 | PBE | relaxed

Unit cell a=4.547 b=4.547 c=7.211 alpha=88.40 beta=88.40 gamma=66.10
Last column: magnetic moment on the atom in μB.
Sites, in units of the cell vectors:
Na 0.000 0.000 0.500  0.00
Pt 0.000 0.000 0.000  0.00
C 0.641 0.641 0.201  -0.01
C 0.359 0.359 0.799  -0.01
O 0.700 0.238 0.794  0.16
O 0.740 0.740 0.032  -0.21
O 0.722 0.722 0.360  0.35
O 0.278 0.278 0.640  0.35
O 0.260 0.260 0.968  -0.21
O 0.238 0.700 0.794  0.16
O 0.762 0.300 0.206  0.16
O 0.300 0.762 0.206  0.16

Calculated values
E = -74.13 eV for the cell shown
M_tot = 0.090 μB per atom
Formation energy from raw total energies = -721.2 meV per atom
Space-group type = C2/m, No. 12
Crystal system = monoclinic